1.
## NiHg2Pb (GGA-PBE)

Data for a relaxed structure of NiHg2Pb.

Structure (POSCAR):
```
NiHg2Pb
1.0
-2.982 -0.512 -1.084
1.029 -2.634 -1.587
-1.644 -4.710 6.750
Hg Pb Ni
2 1 1
direct
0.000 0.000 0.437 Hg
0.000 0.000 0.063 Hg
0.500 0.500 0.750 Pb
0.500 0.500 0.250 Ni
```

Output
VASP energy = -2.317 eV per atom
volume = 87.5 Å³ per cell



2.
## Ni2HgPb (GGA-PBE)

Data for a relaxed structure of Ni2HgPb.

Structure (POSCAR):
```
Ni2HgPb
1.0
3.169 0.000 0.000
0.000 3.168 0.000
0.000 0.000 7.425
Pb Ni Hg
1 2 1
direct
0.000 0.000 0.435 Pb
0.000 0.000 0.045 Ni
0.500 0.500 0.195 Ni
0.500 0.500 0.825 Hg
```

Output
VASP energy = -3.650 eV per atom
volume = 74.5 Å³ per cell